{"formula": "KPaTl2Se4", "functional": "PBE", "state": "optimized geometry", "lattice": [[4.344, 0.000, 0.000], [0.000, 7.975, -0.278], [0.000, 2.692, 7.377]], "species": ["K", "Pa", "Tl", "Tl", "Se", "Se", "Se", "Se"], "fractional_positions": [[0.500, 0.500, 0.000], [0.000, 0.500, 0.500], [0.000, 0.000, 0.000], [0.500, 0.000, 0.500], [0.000, 0.712, 0.708], [0.000, 0.288, 0.292], [0.500, 0.706, 0.297], [0.500, 0.294, 0.703]], "raw_formation_energy_ev_per_atom": -1.011, "crystal_system": "monoclinic", "final_energy_ev_per_atom": -4.67}